Computed, not measured: a geometry-optimized AcFe2F8 structure at the PBE with a Hubbard U level of DFT.

Output
Density ... 4.6 Mg/m³
D(E_F) ... 3.40 states/eV/cell
Calculated total energy ... -5.7483 eV per atom

Lattice parameters (Å, degrees): 4.0814 7.1763 7.5612 121.83 90.00 106.19
Last column: magnetic moment on the atom in μB.
Atoms (fractional coordinates):
F  0.2950  0.5980  0.2987  0.10
F  0.8747  0.7587  0.6054  0.06
F  0.1250  0.2406  0.8463  0.06
F  0.3734  0.7448  0.8725  0.03
F  0.7050  0.4020  0.7013  0.10
F  0.8750  0.7594  0.1536  0.06
F  0.1253  0.2413  0.3945  0.06
F  0.6266  0.2552  0.1275  0.03
Fe  0.1995  0.3903  0.6953  4.17
Fe  0.8005  0.6097  0.3046  4.17
Ac  0.0000  0.0000  0.0000  0.02